Material: Nd2Y4In
Method: DFT, GGA-PBE
State: optimized geometry

Unit cell a=6.595 b=6.325 c=10.729 alpha=90.00 beta=90.00 gamma=90.00
Space group Pmna (No. 53)
Unique sites:
Nd 0.000 0.243 0.043
Y 0.000 0.072 0.346
Y 0.250 0.399 0.750
In 0.000 0.500 0.500

Computed properties:
M_tot = 0.000 μB per cell
Offset from the most stable computed form = 0 meV per atom
Density of states at the Fermi level = 18.29 states/eV per cell

---

Material: Nd7Y12In
Method: DFT, GGA-PBE
State: optimized geometry

Unit cell a=12.0892 b=12.0892 c=15.9739 alpha=90.00 beta=90.00 gamma=120.00
Space group R-3 (No. 148, hexagonal axes)
Unique sites:
Nd 0.0000 0.0000 0.0000
Nd 0.0616 0.8767 0.2941
Y 0.0392 0.5796 0.2145
Y 0.0575 0.4770 0.5848
In 0.0000 0.0000 0.5000

Computed properties:
E_tot = -332.340 eV for the cell shown
M_tot = 0.000 μB per cell
Density of states at the Fermi level = 89.79 states/eV per cell

---

Material: NdY3In2
Method: DFT, GGA-PBE
State: optimized geometry

Unit cell a=5.266 b=9.886 c=6.770 alpha=90.00 beta=90.00 gamma=90.00
Space group Pmc2_1 (No. 26)
Unique sites:
Nd 0.000 0.037 0.000
Y 0.000 0.323 0.653
Y 0.500 0.183 0.278
Y 0.500 0.460 0.935
In 0.000 0.358 0.180
In 0.500 0.147 0.749

Computed properties:
M_tot = 0.001 μB per cell
Offset from the most stable computed form = 0 meV per atom
Density of states at the Fermi level = 12.20 states/eV per cell

---

Material: Nd4YIn2
Method: DFT, GGA-PBE
State: optimized geometry

Unit cell a=5.904 b=11.764 c=6.410 alpha=90.00 beta=90.00 gamma=90.00
Space group Cmmm (No. 65)
Unique sites:
Nd 0.000 0.139 0.000
Nd 0.250 0.250 0.500
Y 0.000 0.000 0.500
In 0.000 0.500 0.244

Computed properties:
M_tot = 0.627 μB per cell
Offset from the most stable computed form = 113 meV per atom
Density of states at the Fermi level = 20.74 states/eV per cell

---

Material: Nd5Y2In4
Method: DFT, GGA-PBE
State: optimized geometry

Unit cell a=8.827 b=3.455 c=10.787 alpha=90.00 beta=95.67 gamma=90.00
Space group P2/m (No. 10)
Unique sites:
Nd 0.000 0.000 0.000
Nd 0.037 0.000 0.335
Nd 0.341 0.000 0.860
Y 0.417 0.000 0.361
In 0.259 0.500 0.576
In 0.299 0.500 0.124

Computed properties:
M_tot = 0.239 μB per cell
Offset from the most stable computed form = 0 meV per atom
Density of states at the Fermi level = 13.15 states/eV per cell

---

Material: Nd6YIn2
Method: DFT, GGA-PBE
State: optimized geometry

Unit cell a=17.535 b=9.503 c=3.487 alpha=90.00 beta=101.40 gamma=90.00
Space group C2/m (No. 12)
Unique sites:
Nd 0.000 0.163 0.000
Nd 0.170 0.313 0.170
Y 0.000 0.500 0.500
In 0.153 0.000 0.652

Computed properties:
M_tot = 0.000 μB per cell
Offset from the most stable computed form = 121 meV per atom
Density of states at the Fermi level = 25.04 states/eV per cell

---

Material: Nd3Y2In2
Method: DFT, GGA-PBE
State: optimized geometry

Unit cell a=4.963 b=24.328 c=3.535 alpha=90.00 beta=90.00 gamma=90.00
Space group Cmmm (No. 65)
Unique sites:
Nd 0.000 0.000 0.000
Nd 0.000 0.140 0.000
Y 0.000 0.288 0.500
In 0.000 0.429 0.500

Computed properties:
M_tot = 0.001 μB per cell
Offset from the most stable computed form = 98 meV per atom
Density of states at the Fermi level = 16.92 states/eV per cell

---

Material: NdY14In
Method: DFT, GGA-PBE
State: optimized geometry

Unit cell a=10.936 b=8.461 c=11.056 alpha=90.00 beta=90.00 gamma=90.00
Space group Amm2 (No. 38)
Unique sites:
Nd 0.000 0.000 0.000
Y 0.000 0.206 0.268
Y 0.221 0.000 0.765
Y 0.243 0.207 0.484
Y 0.275 0.000 0.204
Y 0.500 0.000 0.426
Y 0.500 0.000 0.977
Y 0.500 0.200 0.706
In 0.000 0.000 0.549

Computed properties:
E_tot = -196.834 eV for the cell shown
M_tot = 0.002 μB per cell
Density of states at the Fermi level = 49.19 states/eV per cell

---

Material: NdY9In2
Method: DFT, GGA-PBE
State: optimized geometry

Unit cell a=4.895 b=4.895 c=15.132 alpha=90.00 beta=90.00 gamma=90.00
Space group P4/mmm (No. 123)
Unique sites:
Nd 0.000 0.000 0.000
Y 0.000 0.500 0.176
Y 0.000 0.500 0.500
Y 0.500 0.500 0.000
Y 0.500 0.500 0.340
In 0.000 0.000 0.340

Computed properties:
E_tot = -70.405 eV for the cell shown
M_tot = 0.000 μB per cell
Density of states at the Fermi level = 15.61 states/eV per cell

---

Material: Nd8Y6In
Method: DFT, GGA-PBE
State: optimized geometry

Unit cell a=9.3670 b=9.3670 c=6.6306 alpha=90.00 beta=90.00 gamma=120.00
Space group P-3 (No. 147)
Unique sites:
Nd 0.0416 0.2728 0.3236
Nd 0.3333 0.6667 0.3563
Y 0.0967 0.4433 0.8387
In 0.0000 0.0000 0.0000

Computed properties:
E_tot = -78.663 eV for the cell shown
M_tot = 0.024 μB per cell
Density of states at the Fermi level = 21.91 states/eV per cell

---

Material: NdY2In
Method: DFT, GGA-PBE
State: optimized geometry

Unit cell a=7.797 b=7.797 c=7.797 alpha=90.00 beta=90.00 gamma=90.00
Space group Fm-3m (No. 225)
Unique sites:
Nd 0.000 0.000 0.000
Y 0.250 0.250 0.250
In 0.000 0.000 0.500

Computed properties:
M_tot = 6.726 μB per cell
Offset from the most stable computed form = 155 meV per atom
Density of states at the Fermi level = 24.20 states/eV per cell